No. 1
## Pm2DyEr2Tm (GGA-PBE)

Data for a relaxed structure of Pm2DyEr2Tm.

Output
Total moment ... 0.0 μB/cell
Energy of formation from the pure elements ... 67 meV per atom
Crystal system ... orthorhombic
Theoretical density ... 8.33 g/cm3
D(E_F) ... 1.897 states/eV/atom

Structure (POSCAR):
```
Pm2DyEr2Tm
1.0
-4.364 3.161 -1.542
-3.917 -1.123 8.785
3.370 5.743 2.236
Pm Dy Er Tm
4 2 4 2
Cartesian
-1.997 2.822 1.251 Pm
-1.766 0.694 6.420 Pm
-2.914 4.959 8.228 Pm
1.218 3.926 4.601 Pm
-4.141 1.019 3.622 Dy
1.685 2.871 1.118 Dy
-4.603 2.082 7.110 Er
-0.308 5.699 2.370 Er
-0.083 3.560 7.535 Er
-0.464 1.060 3.487 Er
0.000 0.000 0.000 Tm
-2.456 3.891 4.740 Tm
```

No. 2
## PmDy6ErTm2 (GGA-PBE)

Data for a relaxed structure of PmDy6ErTm2.

Output
Total moment ... 0.0 μB/cell
Energy of formation from the pure elements ... 121 meV per atom
Crystal system ... monoclinic
Theoretical density ... 8.48 g/cm3
D(E_F) ... 1.460 states/eV/atom

Structure (POSCAR):
```
PmDy6ErTm2
1.0
9.028 -1.955 -2.029
0.841 8.474 -1.978
0.841 -2.290 8.395
Pm Dy Er Tm
2 12 2 4
Cartesian
3.098 7.696 -2.207 Pm
7.612 -3.468 6.595 Pm
1.244 -0.800 5.968 Dy
4.952 -0.787 5.981 Dy
9.466 5.029 -1.579 Dy
5.758 5.016 -1.592 Dy
4.057 6.722 1.072 Dy
2.139 4.384 -1.355 Dy
6.653 -2.494 3.316 Dy
8.571 -0.155 5.743 Dy
2.072 4.649 2.474 Dy
4.124 2.906 0.666 Dy
8.638 -0.420 1.914 Dy
6.586 1.323 3.723 Dy
3.098 1.634 3.635 Er
7.612 2.595 0.753 Er
5.347 4.302 3.334 Tm
0.849 2.034 0.980 Tm
5.363 -0.073 1.055 Tm
9.861 2.195 3.408 Tm
```